## LaZrPt2 (PBE)

Data for LaZrPt2 after structural relaxation.

## Properties
Its total energy is -29.6 eV for the cell shown. As for the theoretical density: 11.9 g/cm³. Its space group is P2/m, No. 10.

Cell lengths 3.3605, 3.4262, 8.2363 Å; angles 65.60, 90.00, 90.00 degrees
Closest atoms and distances in Å follow each position.
Element x y z (fractional)
La1 0.5000 0.7500 0.7500  8 Pt 3.27-3.28, 4 La 3.36-3.43
Pt1 0.0000 0.9522 0.0474  4 Zr 2.84, 1 Pt 3.04
Pt2 0.0000 0.5478 0.4526  4 Zr 2.84, 1 Pt 3.04
Zr1 0.5000 0.2500 0.2500  8 Pt 2.84

***

## Na2LiAs (PBE)

Data for Na2LiAs after structural relaxation.

## Properties
Its total energy is -22.5 eV for the cell shown. As for the theoretical density: 2.4 g/cm³. Its space group is Cmcm, No. 63.

Cell lengths 4.7010, 4.6990, 9.2305 Å; angles 90.00, 90.00, 120.02 degrees
Closest atoms and distances in Å follow each position.
Element x y z (fractional)
Na1 0.8330 0.6660 0.4142  4 Na 3.03-3.15, 4 As 3.10-3.11, 3 Li 3.11
Na2 0.1670 0.3340 0.5858  4 Na 3.03-3.15, 4 As 3.10-3.11, 3 Li 3.11
Na3 0.1670 0.3340 0.9142  4 Na 3.03-3.15, 4 As 3.10-3.11, 3 Li 3.11
Na4 0.8330 0.6660 0.0858  4 Na 3.03-3.15, 4 As 3.10-3.11, 3 Li 3.11
Li1 0.4995 0.9987 0.2500  3 As 2.71
Li2 0.5005 0.0013 0.7500  3 As 2.71
As1 0.1663 0.3324 0.2500  3 Li 2.71
As2 0.8337 0.6676 0.7500  3 Li 2.71

***

Energy relative to the elements readings, ordered: -1.011; -0.511 eV per atom